No. 1
The following is a DFT calculation (GGA-PBE) of a relaxed structure of RbCu2SiS4.

Results
E_form (uncorrected): -0.5349 eV per atom
calculated total energy: -4.422 eV per atom
N(E_F): 4.53 states/eV per cell

Lattice parameters (Å, degrees): 6.1614 6.1614 6.1614 118.67 118.67 92.32
Last column: nearest neighbours and their distance in Å.
Atoms (fractional coordinates):
Cu (0.2500, 0.7500, 0.5000)  4 S 2.43
Cu (0.7500, 0.2500, 0.5000)  4 S 2.43
S (0.6555, 0.6555, 0.6181)  1 Si 2.14
S (0.0374, 0.0374, 0.3819)  1 Si 2.14
S (0.3445, 0.9626, 0.0000)  1 Si 2.14
S (0.9626, 0.3445, 0.0000)  1 Si 2.14
Si (0.0000, 0.0000, 0.0000)  4 S 2.14
Rb (0.5000, 0.5000, 0.0000)  4 S 3.04



No. 2
The following is a DFT calculation (GGA-PBE) of a relaxed structure of Rb2CuSiS4.

Results
E_form (uncorrected): -0.8376 eV per atom
calculated total energy: -4.333 eV per atom
N(E_F): 13.93 states/eV per cell

Lattice parameters (Å, degrees): 5.8139 7.4461 11.7081 84.44 75.62 67.02
Last column: nearest neighbours and their distance in Å.
Atoms (fractional coordinates):
Rb (0.5722, 0.5000, 0.8555)  8 S 3.53-3.78
Rb (0.8222, 0.0000, 0.3555)  8 S 3.53-3.78
Rb (0.9278, 0.5000, 0.1445)  8 S 3.53-3.78
Rb (0.1778, 0.0000, 0.6445)  8 S 3.53-3.78
S (0.8676, 0.8177, 0.9000)  1 Si 2.14, 1 Cu 2.32
S (0.8824, 0.6823, 0.6000)  1 Si 2.14, 1 Cu 2.32
S (0.3147, 0.8177, 0.1000)  1 Si 2.14, 1 Cu 2.32
S (0.4353, 0.6823, 0.4000)  1 Si 2.14, 1 Cu 2.32
S (0.2324, 0.1823, 0.9000)  1 Si 2.14, 1 Cu 2.32
S (0.5853, 0.1823, 0.1000)  1 Si 2.14, 1 Cu 2.32
S (0.5176, 0.3177, 0.6000)  1 Si 2.14, 1 Cu 2.32
S (0.1647, 0.3177, 0.4000)  1 Si 2.14, 1 Cu 2.32
Si (0.2500, 0.5000, 0.5000)  4 S 2.14
Si (0.5000, 0.0000, 0.0000)  4 S 2.14
Cu (0.7500, 0.5000, 0.5000)  4 S 2.32
Cu (0.0000, 0.0000, 0.0000)  4 S 2.32



No. 3
The following is a DFT calculation (GGA-PBE) of a relaxed structure of Rb2SmCu2S4.

Results
E_form (uncorrected): -1.1082 eV per atom
calculated total energy: -4.592 eV per atom
N(E_F): 6.42 states/eV per cell

Lattice parameters (Å, degrees): 3.9777 7.8902 7.6933 108.31 104.98 90.00
Last column: nearest neighbours and their distance in Å.
Atoms (fractional coordinates):
Rb (0.1327, 0.5563, 0.2653)  7 S 3.34-3.62
Rb (0.8673, 0.4437, 0.7347)  7 S 3.34-3.62
S (0.2028, 0.1575, 0.4056)  3 Cu 2.37-2.38
S (0.5247, 0.7714, 0.0494)  1 Cu 2.37
S (0.7972, 0.8425, 0.5944)  3 Cu 2.37-2.38
S (0.4753, 0.2286, 0.9506)  1 Cu 2.37
Cu (0.6790, 0.9856, 0.3580)  4 S 2.37-2.38
Cu (0.3210, 0.0144, 0.6420)  4 S 2.37-2.38
Sm (0.0000, 0.0000, 0.0000)  6 S 2.79-2.86



No. 4
The following is a DFT calculation (GGA-PBE) of a relaxed structure of RbSmCuS2.

Results
E_form (uncorrected): -1.0883 eV per atom
calculated total energy: -4.696 eV per atom
N(E_F): 5.80 states/eV per cell

Lattice parameters (Å, degrees): 4.7069 7.7471 8.0543 100.45 90.00 90.00
Last column: nearest neighbours and their distance in Å.
Atoms (fractional coordinates):
Cu (0.0000, 0.0000, 0.0000)  2 S 2.22
Cu (0.0000, 0.0000, 0.5000)  2 S 2.22
S (0.6932, 0.7782, 0.9638)  1 Cu 2.22
S (0.6932, 0.2218, 0.5362)  1 Cu 2.22
S (0.3068, 0.2218, 0.0362)  1 Cu 2.22
S (0.3068, 0.7782, 0.4638)  1 Cu 2.22
Sm (0.5078, 0.0000, 0.7500)  4 S 2.78, 2 Cu 3.07
Sm (0.4922, 0.0000, 0.2500)  4 S 2.78, 2 Cu 3.07
Rb (0.8214, 0.5000, 0.2500)  6 S 3.39-3.48
Rb (0.1786, 0.5000, 0.7500)  6 S 3.39-3.48



No. 5
The following is a DFT calculation (GGA-PBE) of a relaxed structure of RbSm2Cu2S4.

Results
E_form (uncorrected): -1.1673 eV per atom
calculated total energy: -5.068 eV per atom
N(E_F): 0.91 states/eV per cell

Lattice parameters (Å, degrees): 3.7182 8.9665 8.9139 128.01 90.00 101.97
Last column: nearest neighbours and their distance in Å.
Atoms (fractional coordinates):
Rb (0.0000, 0.0000, 0.0000)  6 S 3.29-3.38
Sm (0.8838, 0.7675, 0.3753)  6 S 2.80-2.95, 3 Cu 3.09-3.12
Sm (0.1162, 0.2325, 0.6247)  6 S 2.80-2.95, 3 Cu 3.09-3.12
S (0.5125, 0.0250, 0.6990)  1 Cu 2.37
S (0.7696, 0.5393, 0.8251)  3 Cu 2.36-2.55
S (0.2304, 0.4607, 0.1749)  3 Cu 2.36-2.55
S (0.4875, 0.9750, 0.3010)  1 Cu 2.37
Cu (0.3184, 0.6367, 0.0311)  4 S 2.36-2.55
Cu (0.6816, 0.3633, 0.9689)  4 S 2.36-2.55



No. 6
The following is a DFT calculation (GGA-PBE) of a relaxed structure of RbCuSnS2.

Results
E_form (uncorrected): -0.5110 eV per atom
calculated total energy: -3.975 eV per atom

Lattice parameters (Å, degrees): 5.2398 7.5580 8.5546 116.22 90.00 90.00
Last column: nearest neighbours and their distance in Å.
Atoms (fractional coordinates):
S (0.2452, 0.3874, 0.7748)  1 Cu 2.15
S (0.7548, 0.6126, 0.2252)  1 Cu 2.15
S (0.2452, 0.1126, 0.2252)  1 Cu 2.15
S (0.7548, 0.8874, 0.7748)  1 Cu 2.15
Sn (0.5000, 0.2500, 0.0000)  4 S 2.89, 4 Cu 3.23
Sn (0.5000, 0.7500, 0.0000)  4 S 2.89, 4 Cu 3.23
Rb (0.7515, 0.2500, 0.5000)  4 S 3.34-3.39
Rb (0.2485, 0.7500, 0.5000)  4 S 3.34-3.39
Cu (0.0000, 0.0000, 0.0000)  2 S 2.15
Cu (0.0000, 0.5000, 0.0000)  2 S 2.15



No. 7
The following is a DFT calculation (GGA-PBE) of a relaxed structure of RbSrCuS2.

Results
E_form (uncorrected): -1.1717 eV per atom
calculated total energy: -4.172 eV per atom
N(E_F): 0.00 states/eV per cell

Lattice parameters (Å, degrees): 5.1990 8.2730 8.7592 118.18 90.00 90.00
Last column: nearest neighbours and their distance in Å.
Atoms (fractional coordinates):
S (0.7431, 0.6084, 0.2168)  1 Cu 2.14
S (0.7431, 0.8916, 0.7832)  1 Cu 2.14
S (0.2569, 0.1084, 0.2168)  1 Cu 2.14
S (0.2569, 0.3916, 0.7832)  1 Cu 2.14
Cu (0.0000, 0.5000, 0.0000)  2 S 2.14
Cu (0.0000, 0.0000, 0.0000)  2 S 2.14
Sr (0.5000, 0.2500, 0.0000)  4 S 2.95
Sr (0.5000, 0.7500, 0.0000)  4 S 2.95
Rb (0.7673, 0.2500, 0.5000)  4 S 3.36-3.44
Rb (0.2327, 0.7500, 0.5000)  4 S 3.36-3.44



No. 8
The following is a DFT calculation (GGA-PBE) of a relaxed structure of Rb2TaCuS4.

Results
energy relative to the lowest polymorph listed for this composition: 8 meV per atom
E_form (uncorrected): -1.0991 eV per atom
calculated total energy: -5.398 eV per atom
N(E_F): 0.00 states/eV per cell

Lattice parameters (Å, degrees): 5.5905 7.5024 12.4507 85.20 77.03 68.13
Last column: nearest neighbours and their distance in Å.
Atoms (fractional coordinates):
Cu (0.0000, 0.0000, 0.0000)  4 S 2.34
Cu (0.7500, 0.5000, 0.5000)  4 S 2.34
S (0.5366, 0.3085, 0.6062)  1 Ta 2.30, 1 Cu 2.34
S (0.1549, 0.3085, 0.3938)  1 Ta 2.30, 1 Cu 2.34
S (0.5951, 0.1915, 0.1062)  1 Ta 2.30, 1 Cu 2.34
S (0.8572, 0.6915, 0.6062)  1 Ta 2.30, 1 Cu 2.34
S (0.2987, 0.8085, 0.1062)  1 Ta 2.30, 1 Cu 2.34
S (0.2134, 0.1915, 0.8938)  1 Ta 2.30, 1 Cu 2.34
S (0.4513, 0.6915, 0.3938)  1 Ta 2.30, 1 Cu 2.34
S (0.8928, 0.8085, 0.8938)  1 Ta 2.30, 1 Cu 2.34
Rb (0.5734, 0.5000, 0.8532)  8 S 3.53-3.75
Rb (0.8234, 0.0000, 0.3532)  8 S 3.53-3.75
Rb (0.1766, 0.0000, 0.6468)  8 S 3.53-3.75
Rb (0.9266, 0.5000, 0.1468)  8 S 3.53-3.75
Ta (0.5000, 0.0000, 0.0000)  4 S 2.30
Ta (0.2500, 0.5000, 0.5000)  4 S 2.30



No. 9
The following is a DFT calculation (GGA-PBE) of a relaxed structure of RbTaCu2S4.

Results
E_form (uncorrected): -0.6604 eV per atom
calculated total energy: -5.351 eV per atom

Lattice parameters (Å, degrees): 6.3302 6.3302 6.4326 119.46 119.46 90.04
Last column: nearest neighbours and their distance in Å.
Atoms (fractional coordinates):
Rb (0.0004, 0.0004, 0.0007)  4 S 3.07
Ta (0.5001, 0.5001, 0.0001)  4 S 2.30
S (0.4602, 0.8571, 0.3173)  1 Ta 2.30, 2 Cu 2.43
S (0.1429, 0.1429, 0.6829)  1 Ta 2.30, 2 Cu 2.44
S (0.8571, 0.4602, 0.3173)  1 Ta 2.30, 2 Cu 2.43
S (0.5400, 0.5400, 0.6829)  1 Ta 2.30, 2 Cu 2.44
Cu (0.2498, 0.7498, 0.4996)  4 S 2.43-2.44
Cu (0.7498, 0.2498, 0.4996)  4 S 2.43-2.44



No. 10
The following is a DFT calculation (GGA-PBE) of a relaxed structure of RbTaCuS4.

Results
E_form (uncorrected): -0.8089 eV per atom
calculated total energy: -5.584 eV per atom
N(E_F): 10.06 states/eV per cell

Lattice parameters (Å, degrees): 5.6710 7.6314 9.6140 90.00 101.69 90.00
Last column: nearest neighbours and their distance in Å.
Atoms (fractional coordinates):
S (0.1454, 0.0123, 0.7344)  1 Ta 2.29, 1 Cu 2.31
S (0.8546, 0.9877, 0.2656)  1 Ta 2.29, 1 Cu 2.31
S (0.1454, 0.4877, 0.7344)  1 Ta 2.29, 1 Cu 2.31
S (0.4176, 0.7500, 0.4600)  1 Cu 2.28, 1 Ta 2.29
S (0.8546, 0.5123, 0.2656)  1 Ta 2.29, 1 Cu 2.31
S (0.5824, 0.2500, 0.5400)  1 Cu 2.28, 1 Ta 2.29
S (0.7162, 0.2500, 0.9229)  1 Ta 2.30, 1 Cu 2.33
S (0.2838, 0.7500, 0.0771)  1 Ta 2.30, 1 Cu 2.33
Ta (0.1019, 0.7500, 0.2698)  4 S 2.29-2.30
Ta (0.8981, 0.2500, 0.7302)  4 S 2.29-2.30
Rb (0.3287, 0.2500, 0.1641)  9 S 3.50-3.90
Rb (0.6713, 0.7500, 0.8359)  9 S 3.50-3.90
Cu (0.6050, 0.7500, 0.2711)  4 S 2.28-2.33
Cu (0.3950, 0.2500, 0.7289)  4 S 2.28-2.33